No. 1
The following is a GGA-PBEsol calculation of a relaxed Bi3SI crystal, from the Alexandria database.

Results
Energy relative to the elements, uncorrected ... 0.358 eV per atom
Energy ... -17.22 eV/cell
ρ ... 8.27 Mg/m³
Spin magnetization ... 0.00 μB per cell

a = 5.404 Å, b = 5.404 Å, c = 5.404 Å
α = 90.00°, β = 90.00°, γ = 90.00°
Space group Pm-3m (No. 221)
Symmetry-distinct sites (fractional):
Bi 0.000 0.000 0.500 x3
S 0.000 0.000 0.000 x1
I 0.500 0.500 0.500 x1

***

No. 2
The following is a GGA-PBEsol calculation of a relaxed Y2Ni crystal, from the Alexandria database.

Results
Energy ... -61.48 eV/cell
E_form ... -0.230 eV/atom
ρ ... 5.80 Mg/m³
Spin magnetization ... 0.00 μB per cell

a = 7.0504 Å, b = 7.0504 Å, c = 4.7181 Å
α = 90.00°, β = 90.00°, γ = 120.00°
Space group P-62m (No. 189)
Symmetry-distinct sites (fractional):
Y 0.0000 0.4021 0.0000 x3
Y 0.0000 0.7306 0.5000 x3
Ni 0.0000 0.0000 0.0000 x1
Ni 0.3333 0.6667 0.5000 x2

***

No. 3
The following is a GGA-PBEsol calculation of a relaxed TlRe2W crystal, from the Alexandria database.

Results
Energy ... -39.70 eV/cell
E_form ... 0.850 eV/atom
ρ ... 19.50 Mg/m³
Spin magnetization ... 0.00 μB per cell

a = 4.832 Å, b = 2.925 Å, c = 4.915 Å
α = 90.00°, β = 111.14°, γ = 90.00°
Space group P2/m (No. 10)
Symmetry-distinct sites (fractional):
Tl 0.000 0.000 0.000 x1
Re 0.500 0.000 0.500 x1
Re 0.500 0.500 0.000 x1
W 0.000 0.500 0.500 x1

***

No. 4
The following is a GGA-PBEsol calculation of a relaxed Hf2SnGeC crystal, from the Alexandria database.

Results
Energy ... -27.48 eV/cell
E_form ... 2.473 eV/atom
ρ ... 6.98 Mg/m³
Spin magnetization ... 0.00 μB per cell

a = 5.250 Å, b = 5.250 Å, c = 4.836 Å
α = 90.00°, β = 90.00°, γ = 90.00°
Space group P4/mmm (No. 123)
Symmetry-distinct sites (fractional):
Hf 0.000 0.500 0.000 x2
Sn 0.000 0.000 0.000 x1
Ge 0.000 0.000 0.500 x1
C 0.500 0.500 0.500 x1

***

No. 5
The following is a GGA-PBEsol calculation of a relaxed InCuP2 crystal, from the Alexandria database.

Results
Energy ... -37.35 eV/cell
E_form ... 0.057 eV/atom
ρ ... 5.73 Mg/m³
Spin magnetization ... 0.00 μB per cell

a = 7.122 Å, b = 3.251 Å, c = 6.539 Å
α = 90.00°, β = 113.19°, γ = 90.00°
Space group Cm (No. 8)
Symmetry-distinct sites (fractional):
In 0.000 0.000 0.000 x2
Cu 0.195 0.000 0.710 x2
P 0.330 0.500 0.295 x2
P 0.429 0.000 0.551 x2

***

No. 6
The following is a GGA-PBEsol calculation of a relaxed Na3YAg crystal, from the Alexandria database.

Results
Energy ... -8.11 eV/cell
E_form ... 1.245 eV/atom
ρ ... 1.74 Mg/m³
Spin magnetization ... 2.06 μB per cell

a = 6.328 Å, b = 6.328 Å, c = 6.328 Å
α = 90.00°, β = 90.00°, γ = 90.00°
Space group Pm-3m (No. 221)
Symmetry-distinct sites (fractional):
Na 0.000 0.000 0.500 x3
Y 0.000 0.000 0.000 x1
Ag 0.500 0.500 0.500 x1

***

No. 7
The following is a GGA-PBEsol calculation of a relaxed Sr2LiZnBr crystal, from the Alexandria database.

Results
Energy relative to the elements, uncorrected ... -0.165 eV per atom
Energy ... -9.93 eV/cell
ρ ... 2.81 Mg/m³
Spin magnetization ... 0.00 μB per cell

a = 5.875 Å, b = 5.875 Å, c = 5.605 Å
α = 90.00°, β = 90.00°, γ = 90.00°
Space group P4/mmm (No. 123)
Symmetry-distinct sites (fractional):
Sr 0.000 0.500 0.000 x2
Li 0.000 0.000 0.500 x1
Zn 0.500 0.500 0.500 x1
Br 0.500 0.500 0.000 x1

***

No. 8
The following is a GGA-PBEsol calculation of a relaxed ScCoSi2 crystal, from the Alexandria database.

Results
Energy relative to the elements, uncorrected ... -0.489 eV per atom
Energy ... -27.79 eV/cell
ρ ... 4.98 Mg/m³
Spin magnetization ... 0.00 μB per cell

a = 3.750 Å, b = 3.750 Å, c = 3.795 Å
α = 90.00°, β = 90.00°, γ = 90.00°
Space group P4/mmm (No. 123)
Symmetry-distinct sites (fractional):
Sc 0.000 0.000 0.000 x1
Co 0.500 0.500 0.000 x1
Si 0.000 0.500 0.500 x2

***

No. 9
The following is a GGA-PBEsol calculation of a relaxed RbGe2Au2 crystal, from the Alexandria database.

Results
Energy ... -38.56 eV/cell
E_form ... -0.106 eV/atom
ρ ... 8.95 Mg/m³
Spin magnetization ... 0.00 μB per cell

a = 4.693 Å, b = 4.693 Å, c = 10.529 Å
α = 90.00°, β = 90.00°, γ = 90.00°
Space group I4/mmm (No. 139)
Symmetry-distinct sites (fractional):
Rb 0.000 0.000 0.000 x2
Ge 0.000 0.500 0.250 x4
Au 0.000 0.000 0.358 x4

***

No. 10
The following is a GGA-PBEsol calculation of a relaxed LiFe3C crystal, from the Alexandria database.

Results
Energy ... -38.03 eV/cell
E_form ... 0.095 eV/atom
ρ ... 5.98 Mg/m³
Spin magnetization ... 5.00 μB per cell

a = 3.726 Å, b = 3.726 Å, c = 3.726 Å
α = 90.00°, β = 90.00°, γ = 90.00°
Space group Pm-3m (No. 221)
Symmetry-distinct sites (fractional):
Li 0.000 0.000 0.000 x1
Fe 0.000 0.500 0.500 x3
C 0.500 0.500 0.500 x1

***

No. 11
The following is a GGA-PBEsol calculation of a relaxed Zn2AsPb crystal, from the Alexandria database.

Results
Energy ... -11.52 eV/cell
E_form ... 0.188 eV/atom
ρ ... 8.65 Mg/m³
Spin magnetization ... 0.00 μB per cell

a = 3.335 Å, b = 3.624 Å, c = 6.557 Å
α = 90.00°, β = 90.00°, γ = 90.00°
Space group Pmmm (No. 47)
Symmetry-distinct sites (fractional):
Zn 0.000 0.000 0.198 x2
As 0.500 0.500 0.000 x1
Pb 0.500 0.500 0.500 x1

***

No. 12
The following is a GGA-PBEsol calculation of a relaxed CrIr2Rh crystal, from the Alexandria database.

Results
Energy ... -38.49 eV/cell
E_form ... -0.116 eV/atom
ρ ... 16.93 Mg/m³
Spin magnetization ... 0.15 μB per cell

a = 2.656 Å, b = 3.724 Å, c = 5.348 Å
α = 90.00°, β = 90.00°, γ = 90.00°
Space group Pmmm (No. 47)
Symmetry-distinct sites (fractional):
Cr 0.000 0.000 0.000 x1
Ir 0.500 0.500 0.242 x2
Rh 0.000 0.000 0.500 x1

***

No. 13
The following is a GGA-PBEsol calculation of a relaxed Si2HgBr crystal, from the Alexandria database.

Results
Energy relative to the elements, uncorrected ... 0.089 eV per atom
Energy ... -40.72 eV/cell
ρ ... 6.53 Mg/m³
Spin magnetization ... 0.00 μB per cell

a = 3.8183 Å, b = 3.8183 Å, c = 20.3442 Å
α = 90.00°, β = 90.00°, γ = 120.00°
Space group R3m (No. 160, hexagonal axes)
Symmetry-distinct sites (fractional):
Si 0.0000 0.0000 0.0000 x3
Si 0.0000 0.0000 0.2916 x3
Hg 0.0000 0.0000 0.7518 x3
Br 0.0000 0.0000 0.5226 x3

***

No. 14
The following is a GGA-PBEsol calculation of a relaxed MoOs3 crystal, from the Alexandria database.

Results
Energy ... -96.38 eV/cell
E_form ... 0.056 eV/atom
ρ ... 19.39 Mg/m³
Spin magnetization ... 0.00 μB per cell

a = 3.836 Å, b = 3.836 Å, c = 7.760 Å
α = 90.00°, β = 90.00°, γ = 90.00°
Space group I4/mmm (No. 139)
Symmetry-distinct sites (fractional):
Mo 0.000 0.000 0.000 x2
Os 0.000 0.000 0.500 x2
Os 0.000 0.500 0.250 x4

***

No. 15
The following is a GGA-PBEsol calculation of a relaxed AgHg2As crystal, from the Alexandria database.

Results
Energy ... -17.63 eV/cell
E_form ... 0.184 eV/atom
ρ ... 12.24 Mg/m³
Spin magnetization ... 0.00 μB per cell

a = 4.196 Å, b = 4.211 Å, c = 8.968 Å
α = 90.00°, β = 90.00°, γ = 90.00°
Space group Cmmm (No. 65)
Symmetry-distinct sites (fractional):
Ag 0.000 0.000 0.000 x2
Hg 0.000 0.500 0.235 x4
As 0.000 0.000 0.500 x2

***

No. 16
The following is a GGA-PBEsol calculation of a relaxed TaReHg crystal, from the Alexandria database.

Results
Energy ... -50.94 eV/cell
E_form ... 0.327 eV/atom
ρ ... 18.62 Mg/m³
Spin magnetization ... 0.00 μB per cell

a = 2.741 Å, b = 4.296 Å, c = 8.601 Å
α = 90.00°, β = 90.00°, γ = 90.00°
Space group Imm2 (No. 44)
Symmetry-distinct sites (fractional):
Ta 0.000 0.000 0.000 x2
Re 0.000 0.000 0.336 x2
Hg 0.000 0.000 0.670 x2

***

No. 17
The following is a GGA-PBEsol calculation of a relaxed Ta5Co crystal, from the Alexandria database.

Results
Energy ... -68.78 eV/cell
E_form ... 0.285 eV/atom
ρ ... 15.90 Mg/m³
Spin magnetization ... 0.00 μB per cell

a = 4.8690 Å, b = 4.8690 Å, c = 4.9035 Å
α = 90.00°, β = 90.00°, γ = 120.00°
Space group P-62m (No. 189)
Symmetry-distinct sites (fractional):
Ta 0.0000 0.6731 0.0000 x3
Ta 0.3333 0.6667 0.5000 x2
Co 0.0000 0.0000 0.5000 x1

***

No. 18
The following is a GGA-PBEsol calculation of a relaxed TaNi4Ru crystal, from the Alexandria database.

Results
Energy ... -194.28 eV/cell
E_form ... -0.203 eV/atom
ρ ... 12.13 Mg/m³
Spin magnetization ... 4.01 μB per cell

a = 6.565 Å, b = 6.565 Å, c = 6.565 Å
α = 90.00°, β = 90.00°, γ = 90.00°
Space group F-43m (No. 216)
Symmetry-distinct sites (fractional):
Ta 0.000 0.000 0.000 x4
Ni 0.124 0.124 0.376 x16
Ru 0.250 0.250 0.750 x4

***

No. 19
The following is a GGA-PBEsol calculation of a relaxed NaZn3Pb crystal, from the Alexandria database.

Results
Energy ... -6.29 eV/cell
E_form ... 0.770 eV/atom
ρ ... 5.82 Mg/m³
Spin magnetization ... 0.00 μB per cell

a = 4.955 Å, b = 4.955 Å, c = 4.955 Å
α = 90.00°, β = 90.00°, γ = 90.00°
Space group Pm-3m (No. 221)
Symmetry-distinct sites (fractional):
Na 0.000 0.000 0.000 x1
Zn 0.000 0.000 0.500 x3
Pb 0.500 0.500 0.500 x1

***

No. 20
The following is a GGA-PBEsol calculation of a relaxed La2SbBr crystal, from the Alexandria database.

Results
Energy relative to the elements, uncorrected ... -1.326 eV per atom
Energy ... -22.42 eV/cell
ρ ... 6.49 Mg/m³
Spin magnetization ... 0.00 μB per cell

a = 4.429 Å, b = 4.429 Å, c = 6.251 Å
α = 90.00°, β = 90.00°, γ = 90.00°
Space group P4/mmm (No. 123)
Symmetry-distinct sites (fractional):
La 0.000 0.000 0.000 x1
La 0.500 0.500 0.500 x1
Sb 0.000 0.000 0.500 x1
Br 0.500 0.500 0.000 x1